A relaxed structure of Sc4CuRu. Source: the Alexandria database, functional PBE.

a b c (Å): 3.234 3.234 11.533
angles (deg): 90.00 90.00 90.00
Positions (direct):
Sc 0.000 0.000 0.133
Sc 0.000 0.000 0.867
Sc 0.500 0.500 0.359
Sc 0.500 0.500 0.641
Cu 0.000 0.000 0.500
Ru 0.500 0.500 0.000

Properties
space-group type: P4/mmm, No. 123
E above lowest polymorph: 0.00 eV per formula unit
total magnetic moment: 0.0 μB per cell
total DFT energy (no corrections): -40.52 eV for the cell shown

***

A relaxed structure of ScCuRu. Source: the Alexandria database, functional PBE.

a b c (Å): 5.187 5.187 5.187
angles (deg): 123.82 121.39 85.56
Positions (direct):
Sc 0.376 0.126 0.250
Sc 0.624 0.874 0.750
Cu 0.000 0.000 0.500
Cu 0.000 0.500 0.000
Ru 0.000 0.500 0.500
Ru 0.500 0.500 0.000

Properties
space-group type: Imma, No. 74
E above lowest polymorph: 0.00 eV per formula unit
total magnetic moment: 0.0 μB per cell
total DFT energy (no corrections): -41.44 eV for the cell shown

***

A relaxed structure of Sc4Cu3Ru. Source: the Alexandria database, functional PBE.

a b c (Å): 3.245 3.245 13.038
angles (deg): 90.00 90.00 90.00
Positions (direct):
Sc 0.000 0.000 0.119
Sc 0.000 0.000 0.373
Sc 0.000 0.000 0.627
Sc 0.000 0.000 0.881
Cu 0.500 0.500 0.249
Cu 0.500 0.500 0.500
Cu 0.500 0.500 0.751
Ru 0.500 0.500 0.000

Properties
space-group type: P4/mmm, No. 123
total magnetic moment: 0.0 μB per cell
total DFT energy (no corrections): -49.94 eV for the cell shown

***

A relaxed structure of ScCuRu2. Source: the Alexandria database, functional PBE.

a b c (Å): 2.772 2.772 8.389
angles (deg): 90.00 90.00 111.75
Positions (direct):
Sc 0.000 0.000 0.000
Cu 0.000 0.000 0.500
Ru 0.500 0.500 0.256
Ru 0.500 0.500 0.744

Properties
space-group type: Cmmm, No. 65
total magnetic moment: 0.0 μB per cell
total DFT energy (no corrections): -28.43 eV for the cell shown

***

A relaxed structure of ScCuRu2. Source: the Alexandria database, functional PBE.

a b c (Å): 3.082 4.297 4.506
angles (deg): 90.00 90.00 90.00
Positions (direct):
Sc 0.000 0.000 0.000
Cu 0.500 0.000 0.500
Ru 0.000 0.500 0.500
Ru 0.500 0.500 0.000

Properties
space-group type: Pmmm, No. 47
total magnetic moment: 0.3 μB per cell
total DFT energy (no corrections): -29.18 eV for the cell shown

***

A relaxed structure of ScCuRu2. Source: the Alexandria database, functional PBE.

a b c (Å): 8.976 8.976 8.976
angles (deg): 18.17 18.17 18.17
Positions (direct):
Sc 0.000 0.000 0.000
Cu 0.247 0.247 0.247
Ru 0.498 0.498 0.498
Ru 0.756 0.756 0.756

Properties
space-group type: R3m, No. 160
total magnetic moment: 0.0 μB per cell
total DFT energy (no corrections): -28.09 eV for the cell shown

***

A relaxed structure of Sc6CuRu5. Source: the Alexandria database, functional PBE.

a b c (Å): 7.868 7.868 7.868
angles (deg): 146.42 131.33 60.43
Positions (direct):
Sc 0.076 0.330 0.745
Sc 0.241 0.000 0.241
Sc 0.415 0.670 0.745
Sc 0.585 0.330 0.255
Sc 0.759 0.000 0.759
Sc 0.924 0.670 0.255
Cu 0.500 0.500 0.000
Ru 0.000 0.500 0.500
Ru 0.167 0.167 0.000
Ru 0.337 0.837 0.500
Ru 0.663 0.163 0.500
Ru 0.833 0.833 0.000

Properties
space-group type: Immm, No. 71
total magnetic moment: 0.0 μB per cell
total DFT energy (no corrections): -95.03 eV for the cell shown

***

A relaxed structure of ScCuRu2. Source: the Alexandria database, functional PBE.

a b c (Å): 8.597 8.597 8.597
angles (deg): 19.33 19.33 19.33
Positions (direct):
Sc 0.000 0.000 0.000
Cu 0.500 0.500 0.500
Ru 0.248 0.248 0.248
Ru 0.752 0.752 0.752

Properties
space-group type: R-3m, No. 166
total magnetic moment: 0.0 μB per cell
total DFT energy (no corrections): -28.22 eV for the cell shown

***

A relaxed structure of Sc2CuRu2. Source: the Alexandria database, functional PBE.

a b c (Å): 7.951 7.951 7.951
angles (deg): 154.43 154.43 36.47
Positions (direct):
Sc 0.103 0.103 0.000
Sc 0.897 0.897 0.000
Cu 0.500 0.500 0.000
Ru 0.250 0.750 0.500
Ru 0.750 0.250 0.500

Properties
space-group type: I4/mmm, No. 139
total magnetic moment: 0.0 μB per cell
total DFT energy (no corrections): -34.87 eV for the cell shown

***

A relaxed structure of Sc2CuRu. Source: the Alexandria database, functional PBE.

a b c (Å): 8.884 8.884 8.884
angles (deg): 20.48 20.48 20.48
Positions (direct):
Sc 0.000 0.000 0.000
Sc 0.220 0.220 0.220
Cu 0.743 0.743 0.743
Ru 0.483 0.483 0.483

Properties
space-group type: R3m, No. 160
total magnetic moment: 0.6 μB per cell
total DFT energy (no corrections): -25.47 eV for the cell shown

***

A relaxed structure of Sc2CuRu. Source: the Alexandria database, functional PBE.

a b c (Å): 4.571 4.571 4.571
angles (deg): 60.00 60.00 60.00
Positions (direct):
Sc 0.250 0.250 0.250
Sc 0.750 0.750 0.750
Cu 0.000 0.000 0.000
Ru 0.500 0.500 0.500

Properties
space-group type: Fm-3m, No. 225
total magnetic moment: 0.0 μB per cell
total DFT energy (no corrections): -27.92 eV for the cell shown

***

A relaxed structure of Sc4CuRu2. Source: the Alexandria database, functional PBE.

a b c (Å): 7.770 7.770 7.770
angles (deg): 34.06 34.06 34.06
Positions (direct):
Sc 0.121 0.121 0.121
Sc 0.372 0.372 0.372
Sc 0.628 0.628 0.628
Sc 0.879 0.879 0.879
Cu 0.500 0.500 0.500
Ru 0.247 0.247 0.247
Ru 0.753 0.753 0.753

Properties
space-group type: R-3m, No. 166
total magnetic moment: 0.0 μB per cell
total DFT energy (no corrections): -50.87 eV for the cell shown

***

A relaxed structure of Sc2CuRu2. Source: the Alexandria database, functional PBE.

a b c (Å): 7.253 7.253 3.222
angles (deg): 90.00 90.00 90.00
Positions (direct):
Sc 0.147 0.353 0.000
Sc 0.353 0.853 0.000
Sc 0.647 0.147 0.000
Sc 0.853 0.647 0.000
Cu 0.000 0.000 0.000
Cu 0.500 0.500 0.000
Ru 0.156 0.656 0.500
Ru 0.344 0.156 0.500
Ru 0.656 0.844 0.500
Ru 0.844 0.344 0.500

Properties
space-group type: P4/mbm, No. 127
total magnetic moment: 0.0 μB per cell
total DFT energy (no corrections): -70.55 eV for the cell shown

***

A relaxed structure of ScCu3Ru. Source: the Alexandria database, functional PBE.

a b c (Å): 4.569 4.569 4.569
angles (deg): 90.00 90.00 90.00
Positions (direct):
Sc 0.000 0.000 0.000
Cu 0.000 0.500 0.500
Cu 0.500 0.000 0.500
Cu 0.500 0.500 0.000
Ru 0.500 0.500 0.500

Properties
space-group type: Pm-3m, No. 221
E above lowest polymorph: 0.00 eV per formula unit
total magnetic moment: 0.0 μB per cell
total DFT energy (no corrections): -24.09 eV for the cell shown

***

A relaxed structure of Sc3CuRu. Source: the Alexandria database, functional PBE.

a b c (Å): 4.952 4.952 4.952
angles (deg): 90.00 90.00 90.00
Positions (direct):
Sc 0.000 0.000 0.500
Sc 0.000 0.500 0.000
Sc 0.500 0.000 0.000
Cu 0.500 0.500 0.500
Ru 0.000 0.000 0.000

Properties
space-group type: Pm-3m, No. 221
E above lowest polymorph: 0.00 eV per formula unit
total magnetic moment: 0.0 μB per cell
total DFT energy (no corrections): -31.76 eV for the cell shown

***

A relaxed structure of ScCuRu. Source: the Alexandria database, functional PBE.

a b c (Å): 4.199 4.199 4.199
angles (deg): 60.00 60.00 60.00
Positions (direct):
Sc 0.000 0.000 0.000
Cu 0.250 0.250 0.250
Ru 0.500 0.500 0.500

Properties
space-group type: F-43m, No. 216
E above lowest polymorph: 1.54 eV per formula unit
total magnetic moment: 0.0 μB per cell
total DFT energy (no corrections): -19.17 eV for the cell shown

***

A relaxed structure of ScCuRu. Source: the Alexandria database, functional PBE.

a b c (Å): 4.943 4.943 4.943
angles (deg): 141.43 141.43 55.69
Positions (direct):
Sc 0.000 0.000 0.000
Cu 0.684 0.684 0.000
Ru 0.329 0.329 0.000

Properties
space-group type: I4mm, No. 107
E above lowest polymorph: 0.45 eV per formula unit
total magnetic moment: 0.0 μB per cell
total DFT energy (no corrections): -20.27 eV for the cell shown

***

A relaxed structure of Sc2CuRu. Source: the Alexandria database, functional PBE.

a b c (Å): 9.138 9.138 9.138
angles (deg): 153.65 153.65 37.61
Positions (direct):
Sc 0.117 0.625 0.992
Sc 0.375 0.367 0.492
Sc 0.633 0.125 0.008
Sc 0.875 0.883 0.508
Cu 0.250 0.750 0.500
Cu 0.500 0.500 0.000
Ru 0.000 0.000 0.000
Ru 0.750 0.250 0.500

Properties
space-group type: I-42d, No. 122
total magnetic moment: 0.0 μB per cell
total DFT energy (no corrections): -49.43 eV for the cell shown

***

A relaxed structure of ScCuRu2. Source: the Alexandria database, functional PBE.

a b c (Å): 5.630 5.630 5.630
angles (deg): 101.95 101.95 125.87
Positions (direct):
Sc 0.000 0.000 0.000
Sc 0.750 0.250 0.500
Cu 0.250 0.750 0.500
Cu 0.500 0.500 0.000
Ru 0.148 0.625 0.023
Ru 0.375 0.398 0.523
Ru 0.602 0.125 0.977
Ru 0.875 0.852 0.477

Properties
space-group type: I-42d, No. 122
total magnetic moment: 0.0 μB per cell
total DFT energy (no corrections): -55.07 eV for the cell shown

***

A relaxed structure of ScCuRu2. Source: the Alexandria database, functional PBE.

a b c (Å): 5.151 5.151 4.475
angles (deg): 114.38 114.38 33.79
Positions (direct):
Sc 0.000 0.000 0.000
Cu 0.244 0.244 0.856
Ru 0.502 0.502 0.485
Ru 0.761 0.761 0.370

Properties
space-group type: Cm, No. 8
total magnetic moment: 0.0 μB per cell
total DFT energy (no corrections): -29.29 eV for the cell shown

***

A relaxed structure of Sc4Cu2Ru. Source: the Alexandria database, functional PBE.

a b c (Å): 7.828 7.828 7.828
angles (deg): 33.94 33.94 33.94
Positions (direct):
Sc 0.123 0.123 0.123
Sc 0.376 0.376 0.376
Sc 0.624 0.624 0.624
Sc 0.877 0.877 0.877
Cu 0.246 0.246 0.246
Cu 0.754 0.754 0.754
Ru 0.500 0.500 0.500

Properties
space-group type: R-3m, No. 166
total magnetic moment: 0.0 μB per cell
total DFT energy (no corrections): -44.79 eV for the cell shown

***

A relaxed structure of ScCuRu. Source: the Alexandria database, functional PBE.

a b c (Å): 4.248 4.248 4.248
angles (deg): 60.00 60.00 60.00
Positions (direct):
Sc 0.000 0.000 0.000
Cu 0.250 0.250 0.250
Ru 0.750 0.750 0.750

Properties
space-group type: F-43m, No. 216
E above lowest polymorph: 2.51 eV per formula unit
total magnetic moment: 0.0 μB per cell
total DFT energy (no corrections): -18.21 eV for the cell shown

***

A relaxed structure of Sc6Cu5Ru. Source: the Alexandria database, functional PBE.

a b c (Å): 4.600 6.482 7.293
angles (deg): 90.00 108.38 90.00
Positions (direct):
Sc 0.000 0.245 0.000
Sc 0.000 0.755 0.000
Sc 0.336 0.247 0.671
Sc 0.336 0.753 0.671
Sc 0.664 0.247 0.329
Sc 0.664 0.753 0.329
Cu 0.163 0.500 0.330
Cu 0.164 0.000 0.330
Cu 0.500 0.500 0.000
Cu 0.836 0.000 0.670
Cu 0.837 0.500 0.670
Ru 0.500 0.000 0.000

Properties
space-group type: P2/m, No. 10
total magnetic moment: 0.0 μB per cell
total DFT energy (no corrections): -71.88 eV for the cell shown

***

A relaxed structure of ScCuRu. Source: the Alexandria database, functional PBE.

a b c (Å): 4.370 4.370 2.807
angles (deg): 90.00 90.00 120.00
Positions (direct):
Sc 0.000 0.000 0.000
Cu 0.667 0.333 0.366
Ru 0.333 0.667 0.683

Properties
space-group type: P3m1, No. 156
E above lowest polymorph: 0.84 eV per formula unit
total magnetic moment: 0.0 μB per cell
total DFT energy (no corrections): -19.88 eV for the cell shown

***

A relaxed structure of ScCuRu2. Source: the Alexandria database, functional PBE.

a b c (Å): 2.864 3.814 5.515
angles (deg): 90.00 90.00 90.00
Positions (direct):
Sc 0.000 0.000 0.000
Cu 0.500 0.500 0.252
Ru 0.000 0.000 0.512
Ru 0.500 0.500 0.718

Properties
space-group type: Pmm2, No. 25
total magnetic moment: 0.0 μB per cell
total DFT energy (no corrections): -29.36 eV for the cell shown

***

A relaxed structure of Sc2CuRu. Source: the Alexandria database, functional PBE.

a b c (Å): 5.182 5.182 4.568
angles (deg): 106.43 106.43 36.26
Positions (direct):
Sc 0.000 0.000 0.000
Sc 0.219 0.219 0.639
Cu 0.753 0.753 0.171
Ru 0.479 0.479 0.492

Properties
space-group type: Cm, No. 8
total magnetic moment: 0.0 μB per cell
total DFT energy (no corrections): -27.20 eV for the cell shown

***

A relaxed structure of Sc2CuRu. Source: the Alexandria database, functional PBE.

a b c (Å): 3.512 3.512 5.776
angles (deg): 90.00 90.00 90.00
Positions (direct):
Sc 0.000 0.000 0.000
Sc 0.500 0.500 0.359
Cu 0.000 0.000 0.543
Ru 0.500 0.500 0.825

Properties
space-group type: P4mm, No. 99
total magnetic moment: 0.0 μB per cell
total DFT energy (no corrections): -26.67 eV for the cell shown

***

A relaxed structure of Sc4CuRu. Source: the Alexandria database, functional PBE.

a b c (Å): 5.485 5.485 5.485
angles (deg): 60.00 60.00 60.00
Positions (direct):
Sc 0.377 0.377 0.377
Sc 0.377 0.377 0.870
Sc 0.377 0.870 0.377
Sc 0.870 0.377 0.377
Cu 0.000 0.000 0.000
Ru 0.750 0.750 0.750

Properties
space-group type: F-43m, No. 216
E above lowest polymorph: 5.03 eV per formula unit
total magnetic moment: 0.0 μB per cell
total DFT energy (no corrections): -35.49 eV for the cell shown

***

| no. | ρ (g/cm3) | Fermi-level density of states (states/eV/atom) |
| --- | --- | --- |
| 1 | 4.74 | 0.865 |
| 2 | 7.37 | 0.609 |
| 3 | 5.70 | 0.768 |
| 4 | 8.62 | 0.966 |
| 5 | 8.64 | 1.177 |
| 6 | 8.39 | 1.119 |
| 7 | 6.95 | 0.691 |
| 8 | 8.48 | 0.929 |
| 9 | 6.32 | 1.432 |
| 10 | 5.62 | 0.888 |
| 11 | 6.26 | 0.902 |
| 12 | 5.64 | 0.615 |
| 13 | 6.97 | 0.672 |
| 14 | 5.86 | 0.889 |
| 15 | 4.09 | 0.888 |
| 16 | 6.65 | 1.408 |
| 17 | 7.47 | 0.815 |
| 18 | 5.63 | 1.067 |
| 19 | 8.01 | 1.045 |
| 20 | 8.66 | 0.876 |
| 21 | 5.08 | 0.781 |
| 22 | 6.42 | 0.801 |
| 23 | 5.54 | 0.716 |
| 24 | 7.49 | 1.074 |
| 25 | 8.56 | 0.554 |
| 26 | 6.10 | 0.727 |
| 27 | 5.93 | 0.782 |
| 28 | 4.90 | 1.236 |